The following is a PBE calculation of LiIrOs after structural relaxation, from Alexandria.

abc: 8.055 4.576 5.119
angles: 90.00 121.64 90.00
Space group Cc (No. 9)
Unique sites:
Li  0.000  0.084  0.000 [4 per cell]
Ir  0.168  0.418  0.497 [4 per cell]
Os  0.332  0.084  0.996 [4 per cell]

Summary:
Total energy ... -7.30 eV per atom
Energy above the lowest structure with this stoichiometry ... 0.190 eV per formula unit